# 1
Entry from Alexandria: a geometry-optimized AlZn2Ag5 structure (GGA-PBE).

Cell lengths 7.0831, 7.0831, 10.7823 Å; angles 90.00, 90.00, 90.00 degrees
Last column: nearest neighbours and their distance in Å.
Space group I4/mcm (No. 140)
One atom of each set of equivalent atoms:
Al1 0.0000 0.0000 0.2500 (multiplicity 4)  10 Ag 2.70-2.86
Zn1 0.1411 0.3589 0.0000 (multiplicity 8)  8 Ag 2.68-2.73, 1 Zn 2.83
Ag1 0.0000 0.0000 0.0000 (multiplicity 4)  2 Al 2.70, 4 Zn 2.73
Ag2 0.1528 0.3472 0.3422 (multiplicity 16)  3 Zn 2.68-2.69, 3 Ag 2.78-2.94, 2 Al 2.86

Relative energy among the computed polymorphs (meV per atom): 36
Total magnetization (μB per formula unit): 0.000
DFT formation energy (eV per atom): 0.00

# 2
Entry from Alexandria: a geometry-optimized Al3ZnAg structure (GGA-PBE).

Cell lengths 2.8338, 8.7420, 7.5921 Å; angles 90.00, 100.25, 90.00 degrees
Last column: nearest neighbours and their distance in Å.
Space group P2_1/m (No. 11)
One atom of each set of equivalent atoms:
Al1 0.0907 0.2500 0.1898 (multiplicity 2)  2 Ag 2.68, 6 Al 2.77-2.83
Al2 0.3353 0.5055 0.6676 (multiplicity 4)  3 Zn 2.72-2.77, 1 Ag 2.76, 6 Al 2.77-2.89
Zn1 0.2171 0.7500 0.4417 (multiplicity 2)  6 Al 2.72-2.77, 2 Ag 2.81-2.83, 2 Zn 2.83
Ag1 0.4438 0.2500 0.8849 (multiplicity 2)  4 Al 2.68-2.76, 2 Zn 2.81-2.83, 2 Ag 2.83

Relative energy among the computed polymorphs (meV per atom): 52
Total magnetization (μB per formula unit): 0.000
DFT formation energy (eV per atom): 0.09

# 3
Entry from Alexandria: a geometry-optimized Al8Zn6Ag structure (GGA-PBE).

Cell lengths 7.3511, 7.3511, 5.4938 Å; angles 90.00, 90.00, 120.00 degrees
Last column: nearest neighbours and their distance in Å.
Space group P3 (No. 143)
One atom of each set of equivalent atoms:
Al1 0.0000 0.0000 0.0000 (multiplicity 1)  6 Zn 2.65-2.81, 3 Al 2.80
Al2 0.0208 0.4105 0.7915 (multiplicity 3)  2 Zn 2.57-2.73, 4 Al 2.74-2.87, 1 Ag 2.85
Al3 0.2402 0.2333 0.6004 (multiplicity 3)  4 Zn 2.74-2.96, 7 Al 2.74-3.02, 1 Ag 2.89
Al4 0.3333 0.6667 0.4601 (multiplicity 1)  3 Zn 2.68, 6 Al 2.80-3.00
Zn1 0.0011 0.3223 0.2773 (multiplicity 3)  3 Zn 2.57-2.63, 5 Al 2.68-2.81, 1 Ag 2.79
Zn2 0.3514 0.3486 0.1183 (multiplicity 3)  3 Zn 2.57-2.63, 3 Al 2.57-2.78
Ag1 0.6667 0.3333 0.5045 (multiplicity 1)  3 Zn 2.79, 6 Al 2.85-2.89

Total magnetization (μB per formula unit): 0.000
DFT formation energy (eV per atom): 0.08

# 4
Entry from Alexandria: a geometry-optimized AlZn2Ag structure (GGA-PBE).

Cell lengths 8.8489, 3.2927, 4.5821 Å; angles 90.00, 101.62, 90.00 degrees
Last column: nearest neighbours and their distance in Å.
Space group Cm (No. 8)
One atom of each set of equivalent atoms:
Al1 0.0000 0.0000 0.0000 (multiplicity 2)  3 Ag 2.69-2.79, 7 Zn 2.70-2.86
Zn1 0.0000 0.5000 0.4891 (multiplicity 2)  3 Zn 2.64-2.79, 3 Ag 2.72-2.84, 4 Al 2.78-2.86
Zn2 0.2503 0.5000 0.2569 (multiplicity 2)  3 Zn 2.64-2.79, 3 Al 2.70-2.82, 4 Ag 2.82-2.83
Ag1 0.2524 0.0000 0.7562 (multiplicity 2)  3 Al 2.69-2.79, 7 Zn 2.72-2.84

Total magnetization (μB per formula unit): 0.000
DFT formation energy (eV per atom): 0.00

# 5
Entry from Alexandria: a geometry-optimized Al2ZnAg structure (GGA-PBE).

Cell lengths 6.5007, 6.5007, 6.5007 Å; angles 90.00, 90.00, 90.00 degrees
Last column: nearest neighbours and their distance in Å.
Space group F-43m (No. 216)
One atom of each set of equivalent atoms:
Al1 0.0000 0.0000 0.0000 (multiplicity 4)  4 Al 2.81, 4 Ag 2.81
Al2 0.2500 0.2500 0.2500 (multiplicity 4)  4 Al 2.81, 4 Zn 2.81
Zn1 0.0000 0.0000 0.5000 (multiplicity 4)  4 Ag 2.81, 4 Al 2.81
Ag1 0.2500 0.2500 0.7500 (multiplicity 4)  4 Al 2.81, 4 Zn 2.81

Total magnetization (μB per formula unit): 0.000
DFT formation energy (eV per atom): 0.12

# 6
Entry from Alexandria: a geometry-optimized AlZn6Ag structure (GGA-PBE).

Cell lengths 5.6603, 5.6603, 3.9186 Å; angles 90.00, 90.00, 90.00 degrees
Last column: nearest neighbours and their distance in Å.
Space group P4/mmm (No. 123)
One atom of each set of equivalent atoms:
Al1 0.0000 0.0000 0.0000 (multiplicity 1)  12 Zn 2.78-2.83
Zn1 0.0000 0.5000 0.0000 (multiplicity 2)  8 Zn 2.80, 2 Ag 2.83, 2 Al 2.83
Zn2 0.2456 0.2456 0.5000 (multiplicity 4)  2 Al 2.78, 8 Zn 2.78-2.88, 2 Ag 2.83
Ag1 0.5000 0.5000 0.0000 (multiplicity 1)  12 Zn 2.83

Relative energy among the computed polymorphs (meV per atom): 0
Total magnetization (μB per formula unit): 0.000
DFT formation energy (eV per atom): 0.01

# 7
Entry from Alexandria: a geometry-optimized AlZn2Ag structure (GGA-PBE).

Cell lengths 3.3385, 4.5659, 8.6003 Å; angles 90.00, 90.00, 90.00 degrees
Last column: nearest neighbours and their distance in Å.
Space group Cmmm (No. 65)
One atom of each set of equivalent atoms:
Al1 0.0000 0.0000 0.0000 (multiplicity 2)  4 Zn 2.70, 4 Al 2.83
Zn1 0.0000 0.5000 0.2463 (multiplicity 4)  2 Al 2.70, 2 Ag 2.75, 4 Zn 2.83
Ag1 0.0000 0.0000 0.5000 (multiplicity 2)  4 Zn 2.75, 4 Ag 2.83

Total magnetization (μB per formula unit): 0.000
DFT formation energy (eV per atom): 0.04

# 8
Entry from Alexandria: a geometry-optimized Al2ZnAg structure (GGA-PBE).

Cell lengths 5.6986, 8.0719, 2.8864 Å; angles 90.00, 90.00, 90.00 degrees
Last column: nearest neighbours and their distance in Å.
Space group Cmmm (No. 65)
One atom of each set of equivalent atoms:
Al1 0.2500 0.2500 0.0000 (multiplicity 4)  4 Al 2.85-2.89, 4 Zn 2.86, 4 Ag 2.86
Zn1 0.0000 0.0000 0.5000 (multiplicity 2)  2 Ag 2.85, 8 Al 2.86, 2 Zn 2.89
Ag1 0.0000 0.5000 0.5000 (multiplicity 2)  2 Zn 2.85, 8 Al 2.86, 2 Ag 2.89

Total magnetization (μB per formula unit): 0.000
DFT formation energy (eV per atom): 0.03

# 9
Entry from Alexandria: a geometry-optimized Al2Zn3Ag8 structure (GGA-PBE).

Cell lengths 7.4987, 4.4472, 7.6331 Å; angles 90.00, 109.27, 90.00 degrees
Last column: nearest neighbours and their distance in Å.
Space group P2/m (No. 10)
One atom of each set of equivalent atoms:
Al1 0.2441 0.0000 0.2496 (multiplicity 2)  8 Ag 2.62-2.74
Zn1 0.0000 0.0000 0.5000 (multiplicity 1)  8 Ag 2.73-2.79, 2 Al 3.05
Zn2 0.2454 0.5000 0.7476 (multiplicity 2)  8 Ag 2.69-2.74
Ag1 0.1360 0.0000 0.8869 (multiplicity 2)  2 Al 2.62-2.69, 3 Zn 2.71-2.79
Ag2 0.1404 0.5000 0.3711 (multiplicity 2)  2 Al 2.62, 4 Zn 2.72-2.78
Ag3 0.3740 0.5000 0.1236 (multiplicity 2)  2 Zn 2.69-2.71, 2 Al 2.73, 1 Ag 2.97
Ag4 0.3862 0.0000 0.6303 (multiplicity 2)  2 Al 2.62-2.74, 3 Zn 2.73-2.74

Relative energy among the computed polymorphs (meV per atom): 41
Total magnetization (μB per formula unit): 0.000
DFT formation energy (eV per atom): 0.07

# 10
Entry from Alexandria: a geometry-optimized Al3ZnAg structure (GGA-PBE).

Cell lengths 10.9152, 2.9095, 11.8175 Å; angles 90.00, 113.53, 90.00 degrees
Last column: nearest neighbours and their distance in Å.
Space group C2/m (No. 12)
One atom of each set of equivalent atoms:
Al1 0.1247 0.0000 0.4114 (multiplicity 4)  1 Zn 2.65, 3 Ag 2.73-2.78, 3 Al 2.86-2.91
Al2 0.1258 0.0000 0.7974 (multiplicity 4)  2 Ag 2.68, 6 Al 2.73-2.91, 1 Zn 2.73
Al3 0.1268 0.5000 0.9930 (multiplicity 4)  8 Al 2.73-3.00, 4 Zn 2.73-3.01
Zn1 0.1157 0.0000 0.1839 (multiplicity 4)  4 Al 2.65-2.73, 1 Ag 2.88, 2 Zn 2.91
Ag1 0.1295 0.5000 0.6084 (multiplicity 4)  5 Al 2.68-2.78, 1 Zn 2.88, 3 Ag 2.91-2.96

Relative energy among the computed polymorphs (meV per atom): 0
Total magnetization (μB per formula unit): 0.000
DFT formation energy (eV per atom): 0.04

# 11
Entry from Alexandria: a geometry-optimized AlZn2Ag4 structure (GGA-PBE).

Cell lengths 9.0141, 5.9075, 5.5749 Å; angles 90.00, 123.68, 90.00 degrees
Last column: nearest neighbours and their distance in Å.
Space group C2/m (No. 12)
One atom of each set of equivalent atoms:
Al1 0.0000 0.0000 0.0000 (multiplicity 2)  4 Ag 2.71
Zn1 0.0130 0.5000 0.2340 (multiplicity 4)  1 Zn 2.49, 6 Ag 2.65-2.77
Ag1 0.2050 0.2371 0.7109 (multiplicity 8)  3 Zn 2.65-2.77, 1 Al 2.71, 3 Ag 2.80-2.89

Relative energy among the computed polymorphs (meV per atom): 94
Total magnetization (μB per formula unit): 0.000
DFT formation energy (eV per atom): 0.09

# 12
Entry from Alexandria: a geometry-optimized Al3Zn2Ag structure (GGA-PBE).

Cell lengths 11.3581, 6.4008, 5.7665 Å; angles 90.00, 90.00, 90.00 degrees
Last column: nearest neighbours and their distance in Å.
Space group Cmc2_1 (No. 36)
One atom of each set of equivalent atoms:
Al1 0.0000 0.1354 0.0000 (multiplicity 4)  4 Zn 2.66-2.76, 2 Ag 2.67-2.86
Al2 0.2396 0.4946 0.3457 (multiplicity 8)  4 Zn 2.57-2.75, 1 Ag 2.75
Zn1 0.1173 0.2149 0.5900 (multiplicity 8)  6 Al 2.57-2.76, 1 Zn 2.67, 2 Ag 2.68-2.73
Ag1 0.0000 0.4591 0.2909 (multiplicity 4)  4 Al 2.67-2.86, 4 Zn 2.68-2.73, 2 Ag 2.93

Total magnetization (μB per formula unit): 0.000
DFT formation energy (eV per atom): 0.06

Please write out number 1 again, unchanged.
Entry from Alexandria: a geometry-optimized AlZn2Ag5 structure (GGA-PBE).

Cell lengths 7.0831, 7.0831, 10.7823 Å; angles 90.00, 90.00, 90.00 degrees
Last column: nearest neighbours and their distance in Å.
Space group I4/mcm (No. 140)
One atom of each set of equivalent atoms:
Al1 0.0000 0.0000 0.2500 (multiplicity 4)  10 Ag 2.70-2.86
Zn1 0.1411 0.3589 0.0000 (multiplicity 8)  8 Ag 2.68-2.73, 1 Zn 2.83
Ag1 0.0000 0.0000 0.0000 (multiplicity 4)  2 Al 2.70, 4 Zn 2.73
Ag2 0.1528 0.3472 0.3422 (multiplicity 16)  3 Zn 2.68-2.69, 3 Ag 2.78-2.94, 2 Al 2.86

Relative energy among the computed polymorphs (meV per atom): 36
Total magnetization (μB per formula unit): 0.000
DFT formation energy (eV per atom): 0.00